1.
# TbDyHoSc, optimized geometry, DFT PBE
# DOS(E_F) (states/eV/cell): 31.321
# Formation energy from the elements (meV per atom): 128
# ΔE to the lowest computed polymorph (meV/atom): 23
data_TbDyHoSc
_chemical_formula_sum 'Tb4 Dy4 Ho4 Sc4'
_space_group_name_H-M_alt 'F -4 3 m'
_space_group_IT_number 216
_space_group_name_Hall 'F -4 2 3'
_cell_length_a 7.820
_cell_length_b 7.820
_cell_length_c 7.820
_cell_angle_alpha 90.00
_cell_angle_beta 90.00
_cell_angle_gamma 90.00
loop_
_atom_site_label
_atom_site_type_symbol
_atom_site_fract_x
_atom_site_fract_y
_atom_site_fract_z
_atom_site_occupancy
Tb1 Tb 0.000 0.000 0.000 1
Dy1 Dy 0.000 0.000 0.500 1
Ho1 Ho 0.250 0.250 0.750 1
Sc1 Sc 0.250 0.250 0.250 1


2.
# Sc2SbOsBr, optimized geometry, DFT PBE
# Formation energy from raw total energies (eV per atom): 0.149
# DOS(E_F) (states/eV/cell): 1.526
data_Sc2SbOsBr
_chemical_formula_sum 'Sc2 Sb1 Os1 Br1'
_space_group_name_H-M_alt 'P 4/m m m'
_space_group_IT_number 123
_space_group_name_Hall '-P 4 2'
_cell_length_a 5.219
_cell_length_b 5.219
_cell_length_c 4.654
_cell_angle_alpha 90.00
_cell_angle_beta 90.00
_cell_angle_gamma 90.00
loop_
_atom_site_label
_atom_site_type_symbol
_atom_site_fract_x
_atom_site_fract_y
_atom_site_fract_z
_atom_site_occupancy
Sc1 Sc 0.000 0.500 0.000 1
Sb1 Sb 0.000 0.000 0.500 1
Os1 Os 0.500 0.500 0.000 1
Br1 Br 0.500 0.500 0.500 1


3.
# CaPrTlGa, optimized geometry, DFT PBE
# DOS(E_F) (states/eV/cell): 2.548
# Formation energy from the elements (meV per atom): -453
# ΔE to the lowest computed polymorph (meV/atom): 0
data_CaPrTlGa
_chemical_formula_sum 'Ca1 Pr1 Tl1 Ga1'
_space_group_name_H-M_alt 'P 4 m m'
_space_group_IT_number 99
_cell_length_a 3.778
_cell_length_b 3.778
_cell_length_c 7.738
_cell_angle_alpha 90.00
_cell_angle_beta 90.00
_cell_angle_gamma 90.00
loop_
_space_group_symop_operation_xyz
'x,y,z'
'-y,x,z'
'-x,-y,z'
'y,-x,z'
'-x,y,z'
'y,x,z'
'x,-y,z'
'-y,-x,z'
loop_
_atom_site_label
_atom_site_type_symbol
_atom_site_fract_x
_atom_site_fract_y
_atom_site_fract_z
_atom_site_occupancy
Ca1 Ca 0.000 0.000 0.000 1
Pr1 Pr 0.000 0.000 0.468 1
Tl1 Tl 0.500 0.500 0.745 1
Ga1 Ga 0.500 0.500 0.232 1


M_tot for the records above, in order: 0.00 0.00 0.00 μB per atom